Record 1
Material: In3HAu
Method: DFT, GGA-PBE
State: optimized geometry

Properties
VASP energy ... -0.1858 Ry per atom
Mass density ... 5.765 Mg/m³
Total magnetic moment ... 0.00 μB per atom
E above lowest polymorph ... 24.6 kJ per mole of atoms

Lattice parameters (Å, degrees): 5.386 5.386 5.386 90.00 90.00 90.00
Space group Pm-3m (No. 221)
Symmetry-distinct sites (fractional):
In (0.000, 0.000, 0.500) (multiplicity 3)
H (0.500, 0.500, 0.500) (multiplicity 1)
Au (0.000, 0.000, 0.000) (multiplicity 1)

---

Record 2
Material: NaSi2I8
Method: DFT, GGA-PBE
State: optimized geometry

Properties
ΔE_f (raw) ... -0.402 eV per atom
VASP energy ... -0.1937 Ry per atom
Mass density ... 3.133 Mg/m³
Total magnetic moment ... 0.00 μB per atom

Lattice parameters (Å, degrees): 14.028 11.720 7.176 90.00 100.43 90.00
Space group C2/m (No. 12)
Symmetry-distinct sites (fractional):
Na (0.000, 0.000, 0.000) (multiplicity 2)
Si (0.207, 0.000, 0.689) (multiplicity 4)
I (0.116, 0.174, 0.775) (multiplicity 8)
I (0.119, 0.500, 0.132) (multiplicity 4)
I (0.207, 0.000, 0.336) (multiplicity 4)

---

Record 3
Material: K2CaPtF
Method: DFT, GGA-PBE
State: optimized geometry

Properties
ΔE_f (raw) ... -0.485 eV per atom
VASP energy ... -0.2137 Ry per atom
Mass density ... 2.996 Mg/m³
Total magnetic moment ... 0.02 μB per atom

Lattice parameters (Å, degrees): 6.667 6.667 4.144 90.00 90.00 90.00
Space group P4/mmm (No. 123)
Symmetry-distinct sites (fractional):
K (0.000, 0.500, 0.000) (multiplicity 2)
Ca (0.000, 0.000, 0.000) (multiplicity 1)
Pt (0.500, 0.500, 0.500) (multiplicity 1)
F (0.000, 0.000, 0.500) (multiplicity 1)

---

Among the records above, which one has the highest VASP energy?
In3HAu

---

Among the records above, which one has the highest mass density?
In3HAu

---

Which value of mass density does entry 3 give?
2.996 Mg/m³